<A>
VASP calculation (PBE-GGA) on Hf8SN2 after structural relaxation.

Output
DOS at the Fermi energy: 6.4 states/eV/cell
SG: No. 12

The structure in POSCAR format:
```
Hf8SN2
1.0
5.5441 0.0838 0.0697
0.2008 6.6564 1.2383
0.2008 2.4344 6.3178
Hf S N
8 1 2
direct
0.7231 0.1756 0.6532 Hf
0.2769 0.3468 0.8244 Hf
0.7217 0.1751 0.1751 Hf
0.2783 0.8249 0.8249 Hf
0.7231 0.6532 0.1756 Hf
0.2769 0.8244 0.3468 Hf
0.2459 0.3440 0.3440 Hf
0.7541 0.6560 0.6560 Hf
0.0000 0.0000 0.0000 S
0.3474 0.1771 0.1771 N
0.6526 0.8229 0.8229 N
```



<B>
VASP calculation (PBE-GGA) on Hf8SN2 after structural relaxation.

Output
DOS at the Fermi energy: 4.5 states/eV/cell
SG: No. 12

The structure in POSCAR format:
```
Hf8SN2
1.0
-1.2073 -3.4605 3.2477
-1.5448 -3.9025 -4.9894
5.5710 -3.0619 -1.4485
Hf S N
8 1 2
direct
0.2438 0.8916 0.3433 Hf
0.2438 0.3433 0.8916 Hf
0.7562 0.1084 0.6567 Hf
0.2414 0.3919 0.3919 Hf
0.7562 0.6567 0.1084 Hf
0.2875 0.8173 0.8173 Hf
0.7125 0.1827 0.1827 Hf
0.7586 0.6081 0.6081 Hf
0.0000 0.0000 0.0000 S
0.2624 0.6086 0.6086 N
0.7376 0.3914 0.3914 N
```



The structure with the least stability is <A>.



<A>
VASP calculation (PBE-GGA) on HfS2N2 after structural relaxation.

Output
DOS at the Fermi energy: 1.8 states/eV/cell
SG: No. 139

The structure in POSCAR format:
```
HfS2N2
1.0
-4.2418 2.8221 -0.7271
-0.1474 -1.4901 -4.9238
-3.7518 -1.4942 -2.1251
S Hf N
2 1 2
direct
0.7500 0.2500 0.5000 S
0.2500 0.7500 0.5000 S
0.0000 0.0000 0.0000 Hf
0.6038 0.6038 0.7925 N
0.3962 0.3962 0.2075 N
```



<B>
VASP calculation (PBE-GGA) on HfS2N2 after structural relaxation.

Output
DOS at the Fermi energy: 5.1 states/eV/cell
SG: No. 123

The structure in POSCAR format:
```
HfS2N2
1.0
4.9875 0.0000 0.0000
0.0000 4.9875 0.0000
0.0000 0.0000 4.2589
S Hf N
2 1 2
direct
0.0000 0.5000 0.0000 S
0.5000 0.0000 0.0000 S
0.0000 0.0000 0.0000 Hf
0.5000 0.5000 0.5000 N
0.0000 0.0000 0.5000 N
```



The structure with the least stability is <B>.



<A>
VASP calculation (PBE-GGA) on HfS2N2 after structural relaxation.

Output
DOS at the Fermi energy: 3.7 states/eV/cell
SG: No. 123

The structure in POSCAR format:
```
HfS2N2
1.0
-1.9694 -2.3376 2.1312
-2.0248 -0.9972 -2.9649
2.7935 -3.1323 -0.8542
S Hf N
2 1 2
direct
0.0000 0.0000 0.0000 S
0.0000 0.0000 0.5000 S
0.5000 0.5000 0.5000 Hf
0.0000 0.5000 0.0000 N
0.5000 0.0000 0.0000 N
```



<B>
VASP calculation (PBE-GGA) on HfS2N2 after structural relaxation.

Output
DOS at the Fermi energy: 2.1 states/eV/cell
SG: No. 123

The structure in POSCAR format:
```
HfS2N2
1.0
3.9498 0.0000 0.0000
0.0000 3.9498 0.0000
0.0000 0.0000 3.9022
S Hf N
2 1 2
direct
0.0000 0.5000 0.0000 S
0.5000 0.0000 0.0000 S
0.5000 0.5000 0.5000 Hf
0.0000 0.0000 0.0000 N
0.0000 0.0000 0.5000 N
```



<C>
VASP calculation (PBE-GGA) on HfS2N2 after structural relaxation.

Output
DOS at the Fermi energy: 3.8 states/eV/cell
SG: No. 127

The structure in POSCAR format:
```
HfS2N2
1.0
6.1788 0.0000 0.0000
0.0000 6.1788 0.0000
0.0000 0.0000 3.6517
S Hf N
4 2 4
direct
0.1635 0.6635 0.5000 S
0.6635 0.8365 0.5000 S
0.8365 0.3365 0.5000 S
0.3365 0.1635 0.5000 S
0.0000 0.0000 0.0000 Hf
0.5000 0.5000 0.0000 Hf
0.2310 0.7310 0.0000 N
0.7310 0.7690 0.0000 N
0.7690 0.2690 0.0000 N
0.2690 0.2310 0.0000 N
```



The structure with the least stability is <B>.



<A>
VASP calculation (PBE-GGA) on HfS3N after structural relaxation.

Output
DOS at the Fermi energy: 1.9 states/eV/cell
SG: No. 221

The structure in POSCAR format:
```
HfS3N
1.0
4.1427 0.0000 0.0000
0.0000 4.1427 0.0000
0.0000 0.0000 4.1427
S Hf N
3 1 1
direct
0.0000 0.5000 0.0000 S
0.0000 0.0000 0.5000 S
0.5000 0.0000 0.0000 S
0.5000 0.5000 0.5000 Hf
0.0000 0.0000 0.0000 N
```



<B>
VASP calculation (PBE-GGA) on HfS3N after structural relaxation.

Output
DOS at the Fermi energy: 5.5 states/eV/cell
SG: No. 221

The structure in POSCAR format:
```
HfS3N
1.0
4.9415 0.0000 0.0000
0.0000 4.9415 0.0000
0.0000 0.0000 4.9415
S Hf N
3 1 1
direct
0.0000 0.5000 0.0000 S
0.0000 0.0000 0.5000 S
0.5000 0.0000 0.0000 S
0.0000 0.0000 0.0000 Hf
0.5000 0.5000 0.5000 N
```



The structure with the least stability is <B>.



<A>
VASP calculation (PBE-GGA) on HfSbSN2 after structural relaxation.

Output
DOS at the Fermi energy: 2.5 states/eV/cell
SG: No. 123

The structure in POSCAR format:
```
HfSbSN2
1.0
4.1495 0.0000 0.0000
0.0000 4.1495 0.0000
0.0000 0.0000 5.1225
Sb S Hf N
1 1 1 2
direct
0.5000 0.5000 0.5000 Sb
0.0000 0.0000 0.5000 S
0.0000 0.0000 0.0000 Hf
0.0000 0.5000 0.0000 N
0.5000 0.0000 0.0000 N
```



<B>
VASP calculation (PBE-GGA) on HfSbSN2 after structural relaxation.

Output
DOS at the Fermi energy: 1.7 states/eV/cell
SG: No. 123

The structure in POSCAR format:
```
HfSbSN2
1.0
-3.7949 -1.2770 -0.2797
1.2269 -3.1825 -2.1158
0.5486 -2.5350 4.1311
Sb S Hf N
1 1 1 2
direct
0.0000 0.0000 0.0000 Sb
0.0000 0.0000 0.5000 S
0.5000 0.5000 0.5000 Hf
0.0000 0.5000 0.0000 N
0.5000 0.0000 0.0000 N
```



The structure with the least stability is <B>.



<A>
VASP calculation (PBE-GGA) on HfSiS2N after structural relaxation.

Output
DOS at the Fermi energy: 1.8 states/eV/cell
SG: No. 123

The structure in POSCAR format:
```
HfSiS2N
1.0
-1.6897 -0.0340 -4.4272
0.5561 -4.7027 -0.1761
-3.0644 -0.4063 1.1727
S Hf Si N
2 1 1 1
direct
0.0000 0.5000 0.0000 S
0.5000 0.0000 0.0000 S
0.5000 0.5000 0.5000 Hf
0.0000 0.0000 0.0000 Si
0.0000 0.0000 0.5000 N
```



<B>
VASP calculation (PBE-GGA) on HfSiS2N after structural relaxation.

Output
DOS at the Fermi energy: 2.4 states/eV/cell
SG: No. 123

The structure in POSCAR format:
```
HfSiS2N
1.0
5.0059 0.0000 0.0000
0.0000 5.0059 0.0000
0.0000 0.0000 4.0542
S Hf Si N
2 1 1 1
direct
0.0000 0.5000 0.0000 S
0.5000 0.0000 0.0000 S
0.0000 0.0000 0.0000 Hf
0.5000 0.5000 0.5000 Si
0.0000 0.0000 0.5000 N
```



The structure with the least stability is <B>.